A relaxed NdSmIr crystal. Source: Alexandria, functional PBE-GGA.

Cell and atoms, written as POSCAR:
```
NdSmIr
1.0
6.971 0.000 0.000
0.000 6.971 0.000
0.000 0.000 6.971
Nd Sm Ir
4 4 4
direct
0.000 0.000 0.000
0.000 0.500 0.500
0.500 0.000 0.500
0.500 0.500 0.000
0.000 0.000 0.500
0.000 0.500 0.000
0.500 0.000 0.000
0.500 0.500 0.500
0.250 0.250 0.750
0.250 0.750 0.250
0.750 0.250 0.250
0.750 0.750 0.750
```

Results
Mass density: 9546 kg/m3
Formation enthalpy at 0 K: -0.55 eV per atom
Calculated total energy: -80.0 eV for the cell shown
Total magnetic moment: 0.000 μB/f.u.
Distance to the lowest polymorph of the same formula: 0.000 eV/atom